{"formula": "TlSbBr2", "functional": "PBE", "state": "relaxed", "cell": [[3.5745, 0.0000, 0.0000], [0.0000, 6.0540, 0.0000], [-0.0094, 0.0000, 5.9389]], "species": ["Tl", "Sb", "Br", "Br"], "frac_coords": [[0.0000, 0.0000, 0.0000], [0.4999, 0.5000, 0.5022], [0.4986, 0.5000, 0.0025], [0.5000, 0.0000, 0.5007]], "total_energy_ev_per_atom": -2.817, "magnetic_moment_mub_per_fu": 0.0, "n_ef_per_ev_cell": 1.353}

---

{"formula": "Ac6Os2Au", "functional": "PBE", "state": "relaxed", "cell": [[7.5658, 0.0000, 0.0000], [-3.7829, 6.5522, 0.0000], [0.0000, 0.0000, 7.0821]], "species": ["Ac", "Ac", "Ac", "Ac", "Ac", "Ac", "Os", "Os", "Au"], "frac_coords": [[0.0000, 0.3471, 0.2707], [0.0000, 0.6529, 0.7293], [0.3471, 0.0000, 0.2707], [0.3471, 0.3471, 0.7293], [0.6529, 0.0000, 0.7293], [0.6529, 0.6529, 0.2707], [0.3333, 0.6667, 0.5000], [0.6667, 0.3333, 0.5000], [0.0000, 0.0000, 0.0000]], "total_energy_ev_per_atom": -5.810, "magnetic_moment_mub_per_fu": 0.0, "delta_e_f_ev_per_atom": -0.212, "n_ef_per_ev_cell": 6.054}

---

{"formula": "CaCuRh2", "functional": "PBE", "state": "relaxed", "cell": [[4.0874, 0.0000, 0.0000], [0.0000, 4.0874, 0.0000], [0.0000, 0.0000, 18.1565]], "species": ["Ca", "Ca", "Ca", "Ca", "Cu", "Cu", "Cu", "Cu", "Rh", "Rh", "Rh", "Rh", "Rh", "Rh", "Rh", "Rh"], "frac_coords": [[0.0000, 0.0000, 0.0000], [0.0000, 0.5000, 0.2500], [0.5000, 0.0000, 0.7500], [0.5000, 0.5000, 0.5000], [0.0000, 0.0000, 0.5000], [0.0000, 0.5000, 0.7500], [0.5000, 0.0000, 0.2500], [0.5000, 0.5000, 0.0000], [0.1699, 0.2500, 0.6250], [0.2500, 0.6699, 0.8750], [0.2500, 0.8301, 0.3750], [0.3301, 0.2500, 0.1250], [0.6699, 0.7500, 0.1250], [0.7500, 0.1699, 0.3750], [0.7500, 0.3301, 0.8750], [0.8301, 0.7500, 0.6250]], "total_energy_ev_per_atom": -5.014, "magnetic_moment_mub_per_fu": 0.0, "delta_e_f_ev_per_atom": 0.186, "polymorph_energy_mev_per_atom": 229.2, "n_ef_per_ev_cell": 12.420}

---

{"formula": "Er5Sn2Ge2", "functional": "PBE", "state": "relaxed", "cell": [[7.5522, -3.9355, 0.0000], [7.5522, 3.9355, 0.0000], [0.0000, 0.0000, 7.8344]], "species": ["Er", "Er", "Er", "Er", "Er", "Er", "Er", "Er", "Er", "Er", "Sn", "Sn", "Sn", "Sn", "Ge", "Ge", "Ge", "Ge"], "frac_coords": [[0.0000, 0.0000, 0.0000], [0.0403, 0.7033, 0.6674], [0.2033, 0.5403, 0.1674], [0.2967, 0.9597, 0.6674], [0.4597, 0.7967, 0.1674], [0.5000, 0.5000, 0.5000], [0.5403, 0.2033, 0.8326], [0.7033, 0.0403, 0.3326], [0.7967, 0.4597, 0.8326], [0.9597, 0.2967, 0.3326], [0.2095, 0.2095, 0.0000], [0.2905, 0.2905, 0.5000], [0.7095, 0.7095, 0.5000], [0.7905, 0.7905, 0.0000], [0.1366, 0.8634, 0.3630], [0.3634, 0.6366, 0.8630], [0.6366, 0.3634, 0.1370], [0.8634, 0.1366, 0.6370]], "total_energy_ev_per_atom": -5.230, "magnetic_moment_mub_per_fu": 0.0, "delta_e_f_ev_per_atom": -0.779, "n_ef_per_ev_cell": 9.219}

---

{"formula": "AcLa3Nd4", "functional": "PBE", "state": "relaxed", "cell": [[12.1271, 0.0000, 0.0000], [0.0000, 7.5460, 0.0000], [0.0000, 0.0000, 6.5376]], "species": ["Ac", "Ac", "La", "La", "La", "La", "La", "La", "Nd", "Nd", "Nd", "Nd", "Nd", "Nd", "Nd", "Nd"], "frac_coords": [[0.0000, 0.1269, 0.0000], [0.5000, 0.8731, 0.5000], [0.0000, 0.8691, 0.4962], [0.2492, 0.1283, 0.6636], [0.2507, 0.8717, 0.1636], [0.5000, 0.1309, 0.9962], [0.7492, 0.8717, 0.1636], [0.7508, 0.1283, 0.6636], [0.0000, 0.3795, 0.4946], [0.0000, 0.6233, 0.9939], [0.2488, 0.6210, 0.6677], [0.2512, 0.3790, 0.1677], [0.5000, 0.3767, 0.4939], [0.5000, 0.6205, 0.9946], [0.7488, 0.3790, 0.1677], [0.7512, 0.6210, 0.6677]], "total_energy_ev_per_atom": -4.707, "magnetic_moment_mub_per_fu": 0.0, "delta_e_f_ev_per_atom": 0.038, "polymorph_energy_mev_per_atom": 18.3, "n_ef_per_ev_cell": 28.707}

---

{"formula": "TbYHo3Sc", "functional": "PBE", "state": "relaxed", "cell": [[7.8067, 0.0000, 0.0000], [0.0000, 4.9565, 0.0000], [-3.1478, 0.0000, 9.3666]], "species": ["Tb", "Tb", "Y", "Y", "Ho", "Ho", "Ho", "Ho", "Ho", "Ho", "Sc", "Sc"], "frac_coords": [[0.0007, 0.2500, 0.1279], [0.9993, 0.7500, 0.8721], [0.3275, 0.7500, 0.7038], [0.6725, 0.2500, 0.2962], [0.3258, 0.2500, 0.4583], [0.3304, 0.7500, 0.2105], [0.3314, 0.2500, 0.9560], [0.6686, 0.7500, 0.0440], [0.6696, 0.2500, 0.7895], [0.6742, 0.7500, 0.5417], [0.9999, 0.2500, 0.6218], [0.0001, 0.7500, 0.3782]], "total_energy_ev_per_atom": -5.155, "magnetic_moment_mub_per_fu": 0.0, "delta_e_f_ev_per_atom": 0.038, "n_ef_per_ev_cell": 16.525}

---

{"formula": "Rb3PuU2Se6", "functional": "PBE", "state": "relaxed", "cell": [[3.7286, -6.4585, 0.0000], [3.7286, 6.4585, 0.0000], [-2.4859, 0.0000, 8.0095]], "species": ["Rb", "Rb", "Rb", "Pu", "U", "U", "Se", "Se", "Se", "Se", "Se", "Se"], "frac_coords": [[0.0000, 0.0000, 0.0000], [0.3348, 0.6652, 0.0000], [0.6652, 0.3348, 0.0000], [0.5000, 0.5000, 0.5000], [0.1668, 0.8332, 0.5000], [0.8332, 0.1668, 0.5000], [0.0929, 0.4342, 0.3027], [0.2243, 0.2243, 0.6969], [0.4342, 0.0929, 0.3027], [0.5658, 0.9071, 0.6973], [0.7757, 0.7757, 0.3031], [0.9071, 0.5658, 0.6973]], "total_energy_ev_per_atom": -6.337, "magnetic_moment_mub_per_fu": 0.2, "n_ef_per_ev_cell": 25.200}

---

{"formula": "LaCd2Ni", "functional": "PBE", "state": "relaxed", "cell": [[4.0775, 0.0000, 0.0000], [0.0000, 4.0775, 0.0000], [0.0000, 0.0000, 23.2821]], "species": ["La", "La", "La", "La", "Cd", "Cd", "Cd", "Cd", "Cd", "Cd", "Cd", "Cd", "Ni", "Ni", "Ni", "Ni"], "frac_coords": [[0.0000, 0.0000, 0.0000], [0.0000, 0.5000, 0.2500], [0.5000, 0.0000, 0.7500], [0.5000, 0.5000, 0.5000], [0.2340, 0.2500, 0.6250], [0.2500, 0.7340, 0.8750], [0.2500, 0.7660, 0.3750], [0.2660, 0.2500, 0.1250], [0.7340, 0.7500, 0.1250], [0.7500, 0.2340, 0.3750], [0.7500, 0.2660, 0.8750], [0.7660, 0.7500, 0.6250], [0.0000, 0.0000, 0.5000], [0.0000, 0.5000, 0.7500], [0.5000, 0.0000, 0.2500], [0.5000, 0.5000, 0.0000]], "total_energy_ev_per_atom": -3.123, "magnetic_moment_mub_per_fu": 0.0, "delta_e_f_ev_per_atom": 0.011, "n_ef_per_ev_cell": 9.244}

---

{"formula": "PmPr3Mg3", "functional": "PBE", "state": "relaxed", "cell": [[3.7215, -5.4296, 0.0000], [3.7215, 5.4296, 0.0000], [-0.1624, 0.0000, 10.9162]], "species": ["Pm", "Pm", "Pr", "Pr", "Pr", "Pr", "Pr", "Pr", "Mg", "Mg", "Mg", "Mg", "Mg", "Mg"], "frac_coords": [[0.2112, 0.2112, 0.4955], [0.7888, 0.7888, 0.5045], [0.0173, 0.0173, 0.8323], [0.2731, 0.7269, 0.5000], [0.3263, 0.6737, 0.0000], [0.6737, 0.3263, 0.0000], [0.7269, 0.2731, 0.5000], [0.9827, 0.9827, 0.1677], [0.0006, 0.5085, 0.7493], [0.4915, 0.9994, 0.2507], [0.4986, 0.4986, 0.2599], [0.5014, 0.5014, 0.7401], [0.5085, 0.0006, 0.7493], [0.9994, 0.4915, 0.2507]], "total_energy_ev_per_atom": -3.342, "magnetic_moment_mub_per_fu": 0.8, "delta_e_f_ev_per_atom": 0.068, "n_ef_per_ev_cell": 18.237}

---

{"formula": "GaPtSe2Br", "functional": "PBE", "state": "relaxed", "cell": [[4.9790, 0.0000, 0.0000], [0.0000, 4.9790, 0.0000], [0.0000, 0.0000, 5.3723]], "species": ["Ga", "Pt", "Se", "Se", "Br"], "frac_coords": [[0.0000, 0.0000, 0.0000], [0.5000, 0.5000, 0.5000], [0.0000, 0.5000, 0.5000], [0.5000, 0.0000, 0.5000], [0.5000, 0.5000, 0.0000]], "total_energy_ev_per_atom": -3.388, "magnetic_moment_mub_per_fu": 1.0, "polymorph_energy_mev_per_atom": 0.0, "n_ef_per_ev_cell": 5.798}

---

{"formula": "TbDy5Ho12", "functional": "PBE", "state": "relaxed", "cell": [[10.5612, 0.0000, 0.0000], [0.0000, 4.9795, 0.0000], [-0.0252, 0.0000, 10.5747]], "species": ["Tb", "Dy", "Dy", "Dy", "Dy", "Dy", "Ho", "Ho", "Ho", "Ho", "Ho", "Ho", "Ho", "Ho", "Ho", "Ho", "Ho", "Ho"], "frac_coords": [[0.0000, 0.0000, 0.0000], [0.1668, 0.5000, 0.8332], [0.3333, 0.0000, 0.6667], [0.5000, 0.5000, 0.5000], [0.6667, 0.0000, 0.3333], [0.8332, 0.5000, 0.1668], [0.0002, 0.0000, 0.3337], [0.9998, 0.0000, 0.6663], [0.1670, 0.5000, 0.1670], [0.1665, 0.5000, 0.4998], [0.3332, 0.0000, 0.3332], [0.3337, 0.0000, 0.0002], [0.4998, 0.5000, 0.1665], [0.5002, 0.5000, 0.8335], [0.6663, 0.0000, 0.9998], [0.6668, 0.0000, 0.6668], [0.8335, 0.5000, 0.5002], [0.8330, 0.5000, 0.8330]], "total_energy_ev_per_atom": -4.568, "magnetic_moment_mub_per_fu": 0.0, "delta_e_f_ev_per_atom": 0.020, "n_ef_per_ev_cell": 24.452}

---

Number 1: calculated volume 32.1 Å³ per atom. Number 2: calculated volume 39.0 Å³ per atom. Number 3: calculated volume 19.0 Å³ per atom. Number 4: calculated volume 25.9 Å³ per atom. Number 5: calculated volume 37.4 Å³ per atom. Number 6: calculated volume 30.2 Å³ per atom. Number 7: calculated volume 32.1 Å³ per atom. Number 8: calculated volume 24.2 Å³ per atom. Number 9: calculated volume 31.5 Å³ per atom. Number 10: calculated volume 26.6 Å³ per atom. Number 11: calculated volume 30.9 Å³ per atom.